# HfPIr2 | Alexandria | PBE-GGA | optimized geometry
# calculated density: 15.26 Mg/m³
# formation energy from the elements: -70 kJ per mole of atoms
# calculated total energy: -8.997 eV/atom
# D(E_F): 2.50 states/eV per cell
# SG: P1
data_HfPIr2
_chemical_formula_sum 'Hf2 P2 Ir4'
_space_group_name_H-M_alt 'P 1'
_space_group_IT_number 1
_cell_length_a 4.333
_cell_length_b 5.147
_cell_length_c 6.387
_cell_angle_alpha 97.06
_cell_angle_beta 90.11
_cell_angle_gamma 113.68
loop_
_space_group_symop_operation_xyz
'x,y,z'
loop_
_atom_site_label
_atom_site_type_symbol
_atom_site_fract_x
_atom_site_fract_y
_atom_site_fract_z
Hf1 Hf 0.275 0.086 0.004
Hf2 Hf 0.356 0.293 0.543
P1 P 0.575 0.680 0.987
P2 P 0.050 0.717 0.620
Ir1 Ir 0.949 0.449 0.902
Ir2 Ir 0.662 0.921 0.660
Ir3 Ir 0.781 0.100 0.251
Ir4 Ir 0.234 0.635 0.300